# 1
8
Lattice="5.512 0.000 0.000 2.756 4.939 0.000 2.756 0.000 4.939" Properties=species:S:1:pos:R:3 comment="GGA-PBEsol Ti2AlAs, optimized geometry" dos_ef_per_ev_atom=0.4948 formation_energy_mev_per_atom=-285.5 e_tot_ev_per_fu=-26.985 pbc="T T T"
As 6.890 2.469 2.469
As 0.000 0.000 0.000
Al 4.134 2.469 2.469
Al 2.756 0.000 0.000
Ti 2.067 0.083 2.552
Ti 7.579 4.856 2.387
Ti 6.201 2.552 4.856
Ti 6.201 2.387 0.083

=====

# 2
4
Lattice="-1.879 -2.248 0.942 2.377 -0.059 4.600 -3.344 3.537 1.768" Properties=species:S:1:pos:R:3 comment="GGA-PBEsol AlTlAs2, optimized geometry" e_above_lowest_polymorph_mev_per_atom=410 dos_ef_per_ev_atom=0.4550 formation_energy_mev_per_atom=276.8 e_tot_ev_per_fu=-15.827 pbc="T T T"
Tl -0.940 -1.124 0.471
As -1.672 1.769 0.884
As 1.189 -0.029 2.300
Al -1.423 0.615 3.655

=====

# 3
4
Lattice="-0.243 -4.004 -2.364 3.281 3.403 -1.515 4.509 -0.780 0.858" Properties=species:S:1:pos:R:3 comment="GGA-PBEsol Al2TlAs, optimized geometry" e_above_lowest_polymorph_mev_per_atom=259 dos_ef_per_ev_atom=0.6058 formation_energy_mev_per_atom=252.5 e_tot_ev_per_fu=-14.909 pbc="T T T"
Tl 0.000 0.000 0.000
As 2.133 -2.392 -0.753
Al 2.707 0.505 -1.134
Al 4.840 -1.886 -1.887

=====

# 4
8
Lattice="6.312 0.000 0.000 -3.156 6.117 0.031 0.000 3.229 5.424" Properties=species:S:1:pos:R:3 comment="GGA-PBEsol Al2TlAs, optimized geometry" e_above_lowest_polymorph_mev_per_atom=176 dos_ef_per_ev_atom=0.2399 formation_energy_mev_per_atom=169.5 e_tot_ev_per_fu=-15.241 pbc="T T T"
Tl 3.156 5.480 4.083
Tl 0.000 0.000 0.000
As 0.000 3.866 1.372
As 3.156 1.615 2.712
Al 1.361 5.798 2.057
Al -1.361 7.413 4.769
Al 4.734 3.437 3.211
Al 1.578 2.044 0.872